1.
# CrIn2Pt (PBE-GGA, optimized geometry)
data_CrIn2Pt
_chemical_formula_sum 'Cr3 In6 Pt3'
_cell_length_a 3.234
_cell_length_b 3.234
_cell_length_c 26.401
_cell_angle_alpha 90.00
_cell_angle_beta 90.00
_cell_angle_gamma 120.00
_space_group_name_H-M_alt 'P 1'
_space_group_IT_number 1
_space_group_name_Hall 'P 1'
loop_
_atom_site_label
_atom_site_type_symbol
_atom_site_fract_x
_atom_site_fract_y
_atom_site_fract_z
Cr1 Cr 0.000 0.000 0.000
Cr2 Cr 0.333 0.667 0.667
Cr3 Cr 0.667 0.333 0.333
In1 In 0.000 0.000 0.248
In2 In 0.000 0.000 0.482
In3 In 0.333 0.667 0.149
In4 In 0.333 0.667 0.915
In5 In 0.667 0.333 0.581
In6 In 0.667 0.333 0.815
Pt1 Pt 0.000 0.000 0.732
Pt2 Pt 0.333 0.667 0.398
Pt3 Pt 0.667 0.333 0.065
# - density of states at the Fermi level (states/eV/cell) = 8.81
# - density (Mg/m³) = 9.93
# - M_tot (μB/f.u.) = 2.901
# - calculated formation energy (eV/atom) = 0.17


2.
# TcHg2N2 (PBE-GGA, optimized geometry)
data_TcHg2N2
_chemical_formula_sum 'Tc2 Hg4 N4'
_cell_length_a 7.119
_cell_length_b 7.119
_cell_length_c 3.059
_cell_angle_alpha 90.00
_cell_angle_beta 90.00
_cell_angle_gamma 90.00
_space_group_name_H-M_alt 'P 1'
_space_group_IT_number 1
_space_group_name_Hall 'P 1'
loop_
_atom_site_label
_atom_site_type_symbol
_atom_site_fract_x
_atom_site_fract_y
_atom_site_fract_z
Tc1 Tc 0.000 0.000 0.000
Tc2 Tc 0.500 0.500 0.000
Hg1 Hg 0.136 0.364 0.000
Hg2 Hg 0.364 0.864 0.000
Hg3 Hg 0.636 0.136 0.000
Hg4 Hg 0.864 0.636 0.000
N1 N 0.181 0.681 0.500
N2 N 0.319 0.181 0.500
N3 N 0.681 0.819 0.500
N4 N 0.819 0.319 0.500
# - density of states at the Fermi level (states/eV/cell) = 5.16
# - density (Mg/m³) = 11.29
# - M_tot (μB/f.u.) = 2.630
# - ΔE_f (raw) (eV per atom) = 2.06


3.
# Ba3Er2UN6 (PBE-GGA, optimized geometry)
data_Ba3Er2UN6
_chemical_formula_sum 'Ba3 Er2 U1 N6'
_cell_length_a 6.203
_cell_length_b 6.203
_cell_length_c 6.699
_cell_angle_alpha 98.82
_cell_angle_beta 98.82
_cell_angle_gamma 119.73
_space_group_name_H-M_alt 'P 1'
_space_group_IT_number 1
_space_group_name_Hall 'P 1'
loop_
_atom_site_label
_atom_site_type_symbol
_atom_site_fract_x
_atom_site_fract_y
_atom_site_fract_z
Ba1 Ba 0.000 0.000 0.000
Ba2 Ba 0.328 0.672 0.000
Ba3 Ba 0.672 0.328 0.000
Er1 Er 0.166 0.834 0.500
Er2 Er 0.834 0.166 0.500
U1 U 0.500 0.500 0.500
N1 N 0.133 0.439 0.317
N2 N 0.253 0.253 0.698
N3 N 0.439 0.133 0.317
N4 N 0.561 0.867 0.683
N5 N 0.747 0.747 0.302
N6 N 0.867 0.561 0.683
# - density (Mg/m³) = 8.33
# - M_tot (μB/f.u.) = 0.000
# - ΔE_f (raw) (eV per atom) = -1.11


4.
# DyEr2CrN4 (PBE-GGA, optimized geometry)
data_DyEr2CrN4
_chemical_formula_sum 'Dy2 Er4 Cr2 N8'
_cell_length_a 5.893
_cell_length_b 5.893
_cell_length_c 11.530
_cell_angle_alpha 90.00
_cell_angle_beta 90.00
_cell_angle_gamma 147.05
_space_group_name_H-M_alt 'P 1'
_space_group_IT_number 1
_space_group_name_Hall 'P 1'
loop_
_atom_site_label
_atom_site_type_symbol
_atom_site_fract_x
_atom_site_fract_y
_atom_site_fract_z
Dy1 Dy 0.109 0.891 0.750
Dy2 Dy 0.891 0.109 0.250
Er1 Er 0.369 0.631 0.543
Er2 Er 0.369 0.631 0.957
Er3 Er 0.631 0.369 0.043
Er4 Er 0.631 0.369 0.457
Cr1 Cr 0.157 0.843 0.250
Cr2 Cr 0.843 0.157 0.750
N1 N 0.000 0.000 0.000
N2 N 0.000 0.000 0.500
N3 N 0.267 0.733 0.130
N4 N 0.267 0.733 0.370
N5 N 0.435 0.565 0.750
N6 N 0.565 0.435 0.250
N7 N 0.733 0.267 0.630
N8 N 0.733 0.267 0.870
# - density of states at the Fermi level (states/eV/cell) = 6.76
# - density (Mg/m³) = 9.23
# - M_tot (μB/f.u.) = 2.041
# - ΔE_f (raw) (eV per atom) = -1.27